# Ba5Zn2Ga5

A relaxed Ba5Zn2Ga5 crystal (GGA-PBE, the Alexandria database).

Unit cell a=4.436 b=8.704 c=10.843 alpha=78.53 beta=78.20 gamma=75.23
Fractional coordinates of all 12 atoms:
Ba1 0.000 0.500 0.500
Ba2 0.695 0.697 0.912
Ba3 0.365 0.935 0.334
Ba4 0.635 0.065 0.666
Ba5 0.305 0.303 0.088
Zn1 0.399 0.436 0.767
Zn2 0.601 0.564 0.233
Ga1 0.695 0.265 0.345
Ga2 0.944 0.275 0.837
Ga3 0.056 0.725 0.163
Ga4 0.305 0.735 0.655
Ga5 0.000 0.000 0.000

Results
**Electronic total energy**: -30.47 eV per cell
**V**: 392 Å³ per cell
**DOS(E_F)**: 11.6 states/eV per cell
**Total moment**: 0.00 Bohr magnetons per cell